LiPaCrO5: relaxed, PBE+U.

abc: 5.452 5.452 8.090
angles: 106.70 106.70 103.41
Each line ends with the local moment (μB).
Fractional positions:
1 O 0.853 0.147 0.750  -0.06
2 O 0.658 0.982 0.294  -0.03
3 O 0.982 0.658 0.794  -0.03
4 O 0.625 0.661 0.928  -0.07
5 O 0.375 0.339 0.072  -0.07
6 O 0.018 0.342 0.206  -0.03
7 O 0.339 0.375 0.572  -0.07
8 O 0.342 0.018 0.706  -0.03
9 O 0.147 0.853 0.250  -0.06
10 O 0.661 0.625 0.428  -0.07
11 Cr 0.630 0.370 0.750  2.17
12 Cr 0.370 0.630 0.250  2.17
13 Li 0.314 0.686 0.750  0.00
14 Li 0.686 0.314 0.250  0.00
15 Pa 0.000 0.000 0.500  0.08
16 Pa 0.000 0.000 0.000  0.08

Computed properties:
- V: 12.95 Å³ per atom
- Total DFT energy (no corrections): -124.8 eV per cell

LiCrPbO4: relaxed, PBE+U.

abc: 6.102 6.310 6.310
angles: 62.97 61.09 61.09
Each line ends with the local moment (μB).
Fractional positions:
1 O 0.754 0.786 0.705  -0.05
2 O 0.246 0.795 0.714  -0.05
3 O 0.226 0.769 0.269  0.00
4 O 0.737 0.769 0.269  0.00
5 O 0.246 0.214 0.295  -0.05
6 O 0.774 0.231 0.731  0.00
7 O 0.263 0.231 0.731  0.00
8 O 0.754 0.205 0.286  -0.05
9 Cr 0.000 0.000 0.500  2.99
10 Cr 0.500 0.000 0.500  2.99
11 Pb 0.000 0.000 0.000  0.04
12 Pb 0.000 0.500 0.500  0.04
13 Li 0.622 0.628 0.128  0.00
14 Li 0.378 0.372 0.872  0.00

Computed properties:
- V: 12.73 Å³ per atom
- Total DFT energy (no corrections): -87.3 eV per cell

LiCrPbO3: relaxed, PBE+U.

abc: 3.229 6.811 7.038
angles: 107.11 90.00 90.00
Each line ends with the local moment (μB).
Fractional positions:
1 Cr 0.250 0.669 0.153  3.01
2 Cr 0.750 0.331 0.847  3.01
3 Li 0.750 0.912 0.401  0.00
4 Li 0.250 0.088 0.599  0.00
5 O 0.250 0.146 0.876  -0.04
6 O 0.750 0.205 0.549  -0.01
7 O 0.250 0.795 0.451  -0.01
8 O 0.750 0.469 0.148  -0.05
9 O 0.250 0.531 0.852  -0.05
10 O 0.750 0.854 0.124  -0.04
11 Pb 0.750 0.781 0.753  0.00
12 Pb 0.250 0.219 0.247  0.00

Computed properties:
- V: 12.33 Å³ per atom
- Total DFT energy (no corrections): -74.4 eV per cell

LiCr2PbO8: relaxed, PBE+U.

abc: 4.970 4.970 8.055
angles: 72.03 72.03 60.00
Each line ends with the local moment (μB).
Fractional positions:
1 O 0.954 0.591 0.178  0.18
2 O 0.722 0.046 0.822  0.18
3 O 0.046 0.409 0.822  0.18
4 O 0.823 0.823 0.532  0.05
5 O 0.409 0.722 0.822  0.18
6 O 0.278 0.954 0.178  0.18
7 O 0.177 0.177 0.468  0.05
8 O 0.591 0.278 0.178  0.18
9 Cr 0.748 0.748 0.756  -0.17
10 Cr 0.252 0.252 0.244  -0.17
11 Pb 0.500 0.500 0.500  0.00
12 Li 0.000 0.000 0.000  0.00

Computed properties:
- V: 13.42 Å³ per atom
- Total DFT energy (no corrections): -73.9 eV per cell
- N(E_F): 7.15 states/eV per cell

Li2CrPbO6: relaxed, PBE+U.

abc: 5.201 5.253 5.253
angles: 90.00 90.00 90.00
Fractional positions:
1 O 0.165 0.500 0.500
2 O 0.740 0.234 0.234
3 O 0.325 0.000 0.000
4 O 0.740 0.234 0.766
5 O 0.740 0.766 0.766
6 O 0.740 0.766 0.234
7 Pb 0.549 0.500 0.500
8 Cr 0.633 0.000 0.000
9 Li 0.908 0.500 0.000
10 Li 0.908 0.000 0.500

Computed properties:
- V: 14.35 Å³ per atom
- Total DFT energy (no corrections): -56.2 eV per cell
- N(E_F): 0.08 states/eV per cell

LiCrPdO4: relaxed, PBE+U.

abc: 5.980 6.037 6.037
angles: 60.65 60.31 60.31
Each line ends with the local moment (μB).
Fractional positions:
1 O 0.761 0.767 0.711  -0.04
2 O 0.761 0.211 0.267  -0.04
3 O 0.239 0.789 0.733  -0.04
4 O 0.761 0.762 0.262  -0.01
5 O 0.216 0.762 0.262  -0.01
6 O 0.784 0.238 0.738  -0.01
7 O 0.239 0.233 0.289  -0.04
8 O 0.239 0.238 0.738  -0.01
9 Pd 0.000 0.500 0.500  0.05
10 Pd 0.000 0.000 0.000  0.05
11 Li 0.361 0.389 0.889  0.00
12 Li 0.639 0.611 0.111  0.00
13 Cr 0.000 0.000 0.500  2.98
14 Cr 0.500 0.000 0.500  2.98

Computed properties:
- V: 11.11 Å³ per atom
- Total DFT energy (no corrections): -88.3 eV per cell

Li2CrPdO: relaxed, PBE+U.

abc: 4.999 4.730 4.999
angles: 90.00 90.00 90.00
Each line ends with the local moment (μB).
Fractional positions:
1 Pd 0.000 0.500 0.000  -0.14
2 Li 0.500 0.000 0.000  0.02
3 Li 0.000 0.000 0.500  0.02
4 O 0.500 0.500 0.500  -0.72
5 Cr 0.000 0.000 0.000  4.25

Computed properties:
- V: 23.64 Å³ per atom
- Total DFT energy (no corrections): -16.9 eV per cell
- N(E_F): 5.41 states/eV per cell

LiPm2CrO6: relaxed, PBE+U.

abc: 4.715 5.219 5.219
angles: 90.00 90.00 90.00
Each line ends with the local moment (μB).
Fractional positions:
1 O 0.160 0.500 0.500  -0.08
2 O 0.221 0.000 0.000  -0.07
3 O 0.716 0.766 0.766  -0.05
4 O 0.716 0.766 0.234  -0.05
5 O 0.716 0.234 0.234  -0.05
6 O 0.716 0.234 0.766  -0.05
7 Pm 0.020 0.000 0.500  0.02
8 Pm 0.020 0.500 0.000  0.02
9 Cr 0.587 0.000 0.000  1.26
10 Li 0.576 0.500 0.500  -0.01

Computed properties:
- V: 12.84 Å³ per atom
- Total DFT energy (no corrections): -72.6 eV per cell

Li2Pm2CrO6: relaxed, PBE+U.

abc: 5.594 5.594 5.769
angles: 61.00 61.00 60.00
Each line ends with the local moment (μB).
Fractional positions:
1 O 0.761 0.761 0.259  -0.06
2 O 0.761 0.219 0.259  -0.06
3 O 0.239 0.239 0.741  -0.06
4 O 0.219 0.761 0.259  -0.06
5 O 0.239 0.781 0.741  -0.06
6 O 0.781 0.239 0.741  -0.06
7 Li 0.427 0.427 0.719  0.00
8 Li 0.573 0.573 0.281  0.00
9 Cr 0.000 0.000 0.000  2.28
10 Pm 0.784 0.784 0.647  0.02
11 Pm 0.216 0.216 0.353  0.02

Computed properties:
- V: 11.78 Å³ per atom
- Total DFT energy (no corrections): -75.2 eV per cell
- N(E_F): 5.39 states/eV per cell

LiPm2CrO5: relaxed, PBE+U.

abc: 5.748 6.686 6.686
angles: 90.00 90.00 90.00
Each line ends with the local moment (μB).
Fractional positions:
1 O 0.242 0.136 0.636  -0.02
2 O 0.242 0.636 0.864  -0.02
3 O 0.758 0.864 0.364  -0.02
4 O 0.242 0.864 0.364  -0.02
5 O 0.758 0.136 0.636  -0.02
6 O 0.758 0.364 0.136  -0.02
7 O 0.758 0.636 0.864  -0.02
8 O 0.242 0.364 0.136  -0.02
9 O 0.500 0.000 0.000  0.01
10 O 0.500 0.500 0.500  0.01
11 Cr 0.000 0.000 0.500  2.87
12 Cr 0.000 0.500 0.000  2.87
13 Pm 0.500 0.822 0.678  0.00
14 Pm 0.500 0.322 0.822  0.00
15 Pm 0.500 0.678 0.178  0.00
16 Pm 0.500 0.178 0.322  0.00
17 Li 0.000 0.000 0.000  0.00
18 Li 0.000 0.500 0.500  0.00

Computed properties:
- V: 14.27 Å³ per atom
- Total DFT energy (no corrections): -131.5 eV per cell

Li3PmCr4O12: relaxed, PBE+U.

abc: 6.354 6.354 6.354
angles: 109.47 109.47 109.47
Each line ends with the local moment (μB).
Fractional positions:
1 O 0.705 0.816 0.521  -0.20
2 O 0.705 0.184 0.890  -0.20
3 O 0.110 0.295 0.816  -0.20
4 O 0.521 0.705 0.816  -0.20
5 O 0.816 0.110 0.295  -0.20
6 O 0.184 0.890 0.705  -0.20
7 O 0.479 0.295 0.184  -0.20
8 O 0.295 0.816 0.110  -0.20
9 O 0.295 0.184 0.479  -0.20
10 O 0.890 0.705 0.184  -0.20
11 O 0.184 0.479 0.295  -0.20
12 O 0.816 0.521 0.705  -0.20
13 Li 0.500 0.500 0.000  0.00
14 Li 0.500 0.000 0.500  0.00
15 Li 0.000 0.500 0.500  0.00
16 Cr 0.000 0.500 0.000  2.14
17 Cr 0.500 0.000 0.000  2.14
18 Cr 0.500 0.500 0.500  2.14
19 Cr 0.000 0.000 0.500  2.14
20 Pm 0.000 0.000 0.000  0.01

Computed properties:
- V: 9.87 Å³ per atom
- Total DFT energy (no corrections): -135.6 eV per cell
- N(E_F): 12.98 states/eV per cell

Li4PmCr3O12: relaxed, PBE+U.

abc: 6.413 6.413 6.413
angles: 109.47 109.47 109.47
Each line ends with the local moment (μB).
Fractional positions:
1 Cr 0.500 0.000 0.500  1.88
2 Cr 0.000 0.500 0.500  1.88
3 Cr 0.500 0.500 0.000  1.88
4 O 0.837 0.157 0.320  -0.35
5 O 0.680 0.163 0.843  -0.35
6 O 0.516 0.680 0.837  -0.35
7 O 0.320 0.837 0.157  -0.35
8 O 0.163 0.843 0.680  -0.35
9 O 0.680 0.837 0.516  -0.35
10 O 0.484 0.320 0.163  -0.35
11 O 0.843 0.680 0.163  -0.35
12 O 0.320 0.163 0.484  -0.35
13 O 0.163 0.484 0.320  -0.35
14 O 0.837 0.516 0.680  -0.35
15 O 0.157 0.320 0.837  -0.35
16 Li 0.500 0.000 0.000  -0.01
17 Li 0.500 0.500 0.500  -0.01
18 Li 0.000 0.000 0.500  -0.01
19 Li 0.000 0.500 0.000  -0.01
20 Pm 0.000 0.000 0.000  0.04

Computed properties:
- V: 10.15 Å³ per atom
- Total DFT energy (no corrections): -121.4 eV per cell
- N(E_F): 10.22 states/eV per cell

Li3PrCr4O12: relaxed, PBE+U.

abc: 6.375 6.375 6.375
angles: 109.47 109.47 109.47
Each line ends with the local moment (μB).
Fractional positions:
1 O 0.814 0.110 0.295  -0.20
2 O 0.295 0.814 0.110  -0.20
3 O 0.186 0.890 0.705  -0.20
4 O 0.705 0.186 0.890  -0.20
5 O 0.186 0.481 0.295  -0.20
6 O 0.481 0.295 0.186  -0.20
7 O 0.519 0.705 0.814  -0.20
8 O 0.110 0.295 0.814  -0.20
9 O 0.705 0.814 0.519  -0.20
10 O 0.814 0.519 0.705  -0.20
11 O 0.295 0.186 0.481  -0.20
12 O 0.890 0.705 0.186  -0.20
13 Cr 0.500 0.000 0.000  2.16
14 Cr 0.000 0.000 0.500  2.16
15 Cr 0.500 0.500 0.500  2.16
16 Cr 0.000 0.500 0.000  2.16
17 Li 0.000 0.500 0.500  0.00
18 Li 0.500 0.500 0.000  0.00
19 Li 0.500 0.000 0.500  0.00
20 Pr 0.000 0.000 0.000  0.01

Computed properties:
- V: 9.97 Å³ per atom
- Total DFT energy (no corrections): -135.4 eV per cell
- N(E_F): 13.19 states/eV per cell

LiPr2CrO5: relaxed, PBE+U.

abc: 5.786 6.810 6.810
angles: 90.00 90.00 90.00
Each line ends with the local moment (μB).
Fractional positions:
1 O 0.760 0.135 0.635  -0.02
2 O 0.760 0.865 0.365  -0.02
3 O 0.240 0.135 0.635  -0.02
4 O 0.760 0.365 0.135  -0.02
5 O 0.240 0.865 0.365  -0.02
6 O 0.500 0.000 0.000  0.01
7 O 0.240 0.635 0.865  -0.02
8 O 0.240 0.365 0.135  -0.02
9 O 0.760 0.635 0.865  -0.02
10 O 0.500 0.500 0.500  0.01
11 Li 0.000 0.000 0.000  0.00
12 Li 0.000 0.500 0.500  0.00
13 Pr 0.500 0.178 0.322  0.00
14 Pr 0.500 0.322 0.822  0.00
15 Pr 0.500 0.822 0.678  0.00
16 Pr 0.500 0.678 0.178  0.00
17 Cr 0.000 0.500 0.000  2.87
18 Cr 0.000 0.000 0.500  2.87

Computed properties:
- V: 14.91 Å³ per atom
- Total DFT energy (no corrections): -130.6 eV per cell

LiPr2CrO6: relaxed, PBE+U.

abc: 5.466 5.722 7.606
angles: 90.00 90.31 90.00
Each line ends with the local moment (μB).
Fractional positions:
1 O 0.580 0.021 0.235  -0.07
2 O 0.809 0.779 0.546  -0.03
3 O 0.080 0.479 0.735  -0.07
4 O 0.720 0.309 0.543  -0.03
5 O 0.420 0.979 0.765  -0.07
6 O 0.191 0.221 0.454  -0.03
7 O 0.920 0.521 0.265  -0.07
8 O 0.691 0.279 0.954  -0.03
9 O 0.309 0.721 0.046  -0.03
10 O 0.280 0.691 0.457  -0.03
11 O 0.220 0.191 0.043  -0.03
12 O 0.780 0.809 0.957  -0.03
13 Pr 0.486 0.439 0.251  0.01
14 Pr 0.014 0.939 0.249  0.01
15 Pr 0.986 0.061 0.751  0.01
16 Pr 0.514 0.561 0.749  0.01
17 Li 0.000 0.500 0.000  0.00
18 Li 0.500 0.000 0.500  0.00
19 Cr 0.000 0.500 0.500  1.21
20 Cr 0.500 0.000 0.000  1.21

Computed properties:
- V: 11.89 Å³ per atom
- Total DFT energy (no corrections): -147.1 eV per cell

LiPuCrO5: relaxed, PBE+U.

abc: 5.514 5.514 7.911
angles: 105.99 105.99 107.92
Each line ends with the local moment (μB).
Fractional positions:
1 O 0.330 0.987 0.673  -0.13
2 O 0.865 0.135 0.750  -0.14
3 O 0.699 0.629 0.426  -0.15
4 O 0.301 0.371 0.574  -0.15
5 O 0.629 0.699 0.926  -0.15
6 O 0.371 0.301 0.074  -0.15
7 O 0.135 0.865 0.250  -0.14
8 O 0.987 0.330 0.173  -0.13
9 O 0.670 0.013 0.327  -0.13
10 O 0.013 0.670 0.827  -0.13
11 Li 0.309 0.691 0.750  0.00
12 Li 0.691 0.309 0.250  0.00
13 Pu 0.000 0.000 0.500  2.56
14 Pu 0.000 0.000 0.000  2.56
15 Cr 0.642 0.358 0.750  3.08
16 Cr 0.358 0.642 0.250  3.08

Computed properties:
- V: 12.64 Å³ per atom
- Total DFT energy (no corrections): -130.7 eV per cell
- N(E_F): 7.72 states/eV per cell

LiPuCrO6: relaxed, PBE+U.

abc: 4.555 5.002 5.002
angles: 120.00 90.00 90.00
Each line ends with the local moment (μB).
Fractional positions:
1 O 0.257 0.992 0.647  -0.17
2 O 0.257 0.655 0.008  -0.17
3 O 0.743 0.353 0.008  -0.17
4 O 0.743 0.655 0.647  -0.17
5 O 0.257 0.353 0.345  -0.17
6 O 0.743 0.992 0.345  -0.17
7 Li 0.500 0.000 0.000  -0.01
8 Cr 0.500 0.667 0.333  2.29
9 Pu 0.000 0.333 0.667  1.83

Computed properties:
- V: 10.97 Å³ per atom
- Total DFT energy (no corrections): -70.7 eV per cell
- N(E_F): 4.31 states/eV per cell

LiPuCr2O6: relaxed, PBE+U.

abc: 5.249 5.151 5.151
angles: 90.00 90.00 90.00
Each line ends with the local moment (μB).
Fractional positions:
1 Li 0.585 0.500 0.500  0.00
2 O 0.767 0.248 0.752  -0.18
3 O 0.185 0.000 0.000  -0.21
4 O 0.767 0.752 0.752  -0.18
5 O 0.206 0.500 0.500  -0.56
6 O 0.767 0.752 0.248  -0.18
7 O 0.767 0.248 0.248  -0.18
8 Pu 0.550 0.000 0.000  3.45
9 Cr 0.928 0.500 0.000  3.42
10 Cr 0.928 0.000 0.500  3.42

Computed properties:
- V: 13.93 Å³ per atom
- Total DFT energy (no corrections): -76.1 eV per cell
- N(E_F): 6.95 states/eV per cell

Li2PuCrO6: relaxed, PBE+U.

abc: 4.214 5.601 5.601
angles: 90.00 90.00 90.00
Each line ends with the local moment (μB).
Fractional positions:
1 O 0.240 0.500 0.500  -0.22
2 O 0.733 0.266 0.266  -0.09
3 O 0.733 0.734 0.734  -0.09
4 O 0.733 0.734 0.266  -0.09
5 O 0.191 0.000 0.000  -0.16
6 O 0.733 0.266 0.734  -0.09
7 Cr 0.623 0.500 0.500  1.48
8 Li 0.888 0.000 0.500  0.00
9 Li 0.888 0.500 0.000  0.00
10 Pu 0.684 0.000 0.000  3.23

Computed properties:
- V: 13.22 Å³ per atom
- Total DFT energy (no corrections): -75.1 eV per cell
- N(E_F): 6.78 states/eV per cell